This record from Alexandria describes KTcAu at its PBEsol-relaxed geometry. The functional is SCAN.

extended XYZ file:
```
3
Lattice="-0.1886 -0.1692 -2.8093 1.8483 -1.6156 1.3893 -5.6400 -5.8250 0.7296" Properties=species:S:1:pos:R:3 pbc="T T T"
Au -0.1362 -0.1406 0.0176
K -3.2822 -4.5476 -0.9218
Tc -0.5620 -2.9215 0.2137
```

**Spin magnetization**: 0.003 μB/atom
**Total DFT energy (no corrections)**: -110.0 eV per cell
**Offset from the most stable computed form**: 0.262 eV/atom
**Calculated formation energy**: 0.833 eV per atom